Record 1
This record from Alexandria via LeMat-Bulk describes Ta3NbNi after structural relaxation. The functional is GGA-PBE.

a b c (Å): 4.816 4.816 4.816
angles (deg): 90.00 90.00 90.00
Positions (direct):
Ta 0.500 0.000 0.000
Ta 0.000 0.500 0.000
Ta 0.000 0.000 0.500
Nb 0.000 0.000 0.000
Ni 0.500 0.500 0.500

Values from the calculation:
As for the symmetry: Pm-3m (221). For the energy relative to the elements, the calculation gives 1933.6 meV per atom.

---

Record 2
This record from Alexandria via LeMat-Bulk describes Pm3Zn2SbPd9 after structural relaxation. The functional is GGA-PBE.

a b c (Å): 5.688 5.688 11.782
angles (deg): 90.00 90.00 120.00
Positions (direct):
Zn 0.667 0.333 0.836
Zn 0.333 0.667 0.164
Pd 0.831 0.663 0.672
Pd 0.169 0.831 0.328
Pd 0.337 0.169 0.672
Pd 0.169 0.337 0.328
Pd 0.831 0.169 0.672
Pd 0.000 0.500 0.000
Pd 0.500 0.500 0.000
Pd 0.500 0.000 0.000
Pd 0.663 0.831 0.328
Pm 0.000 0.000 0.000
Pm 0.333 0.667 0.761
Pm 0.667 0.333 0.239
Sb 0.000 0.000 0.500

Values from the calculation:
As for the symmetry: P-3m1 (164). The energy relative to the elements, uncorrected is -0.533 eV per atom.

---

Record 3
This record from Alexandria via LeMat-Bulk describes Cs2MnAgSe4 after structural relaxation. The functional is GGA-PBE.

a b c (Å): 6.130 7.908 12.725
angles (deg): 84.64 76.06 67.20
Each line ends with the local moment (μB).
Positions (direct):
Se 0.258 0.184 0.889  -0.06
Se 0.192 0.316 0.389  -0.06
Se 0.852 0.816 0.889  -0.06
Se 0.558 0.184 0.111  -0.06
Se 0.492 0.316 0.611  -0.06
Se 0.332 0.816 0.111  -0.06
Se 0.418 0.684 0.389  -0.06
Se 0.898 0.684 0.611  -0.06
Ag 0.000 0.000 0.000  -0.02
Ag 0.750 0.500 0.500  -0.02
Cs 0.820 0.000 0.360  0.00
Cs 0.930 0.500 0.140  0.00
Cs 0.180 0.000 0.640  0.00
Cs 0.570 0.500 0.860  0.00
Mn 0.500 0.000 0.000  2.18
Mn 0.250 0.500 0.500  2.18

Values from the calculation:
As for the symmetry: Fddd (70). The energy relative to the elements, uncorrected is -0.686 eV per atom.

---

Record 4
This record from Alexandria via LeMat-Bulk describes Ba3Tb2NpN6 after structural relaxation. The functional is GGA-PBE.

a b c (Å): 6.209 6.209 6.724
angles (deg): 98.83 98.83 119.76
Each line ends with the local moment (μB).
Positions (direct):
Tb 0.666 0.334 0.000  0.00
Tb 0.334 0.666 0.000  0.00
N 0.358 0.061 0.182  -0.03
N 0.239 0.239 0.807  -0.02
N 0.939 0.642 0.818  -0.03
N 0.642 0.939 0.818  -0.03
N 0.761 0.761 0.193  -0.02
N 0.061 0.358 0.182  -0.03
Ba 0.171 0.829 0.500  0.01
Ba 0.829 0.171 0.500  0.01
Ba 0.500 0.500 0.500  0.01
Np 0.000 0.000 0.000  0.63

Values from the calculation:
As for the symmetry: C2/m (12). The energy relative to the elements, uncorrected is -1.012 eV per atom.

---

Record 5
This record from Alexandria via LeMat-Bulk describes Pr3Nd4In2 after structural relaxation. The functional is GGA-PBE.

a b c (Å): 4.916 6.201 10.695
angles (deg): 73.94 76.71 66.65
Positions (direct):
Nd 0.992 0.339 0.676
Nd 0.008 0.661 0.324
Nd 0.330 0.451 0.890
Nd 0.670 0.549 0.110
In 0.337 0.108 0.218
In 0.663 0.892 0.782
Pr 0.328 0.791 0.553
Pr 0.000 0.000 0.000
Pr 0.672 0.209 0.447

Values from the calculation:
As for the symmetry: C2/m (12). For the energy relative to the elements, the calculation gives -218.0 meV per atom.

---

Record 6
This record from Alexandria via LeMat-Bulk describes U4Tc7As6 after structural relaxation. The functional is GGA-PBE.

a b c (Å): 7.223 7.223 7.223
angles (deg): 109.47 109.47 109.47
Each line ends with the local moment (μB).
Positions (direct):
As 0.692 0.692 0.000  -0.01
As 0.000 0.308 0.308  -0.01
As 0.000 0.692 0.692  -0.01
As 0.692 0.000 0.692  -0.01
As 0.308 0.000 0.308  -0.01
As 0.308 0.308 0.000  -0.01
Tc 0.500 0.250 0.750  -0.15
Tc 0.000 0.000 0.000  0.10
Tc 0.250 0.500 0.750  -0.15
Tc 0.250 0.750 0.500  -0.15
Tc 0.500 0.750 0.250  -0.15
Tc 0.750 0.250 0.500  -0.15
Tc 0.750 0.500 0.250  -0.15
U 0.500 0.500 0.500  1.00
U 0.000 0.500 0.000  1.00
U 0.500 0.000 0.000  1.00
U 0.000 0.000 0.500  1.00

Values from the calculation:
As for the symmetry: Im-3m (229). For the energy relative to the elements, the calculation gives -573.9 meV per atom.

---

Record 7
This record from Alexandria via LeMat-Bulk describes CsZrIn after structural relaxation. The functional is GGA-PBE.

a b c (Å): 14.513 5.767 5.524
angles (deg): 90.00 90.00 90.00
Positions (direct):
Zr 0.500 0.750 0.002
Zr 0.000 0.750 0.498
Zr 0.500 0.250 0.998
Zr 0.000 0.250 0.502
In 0.000 0.500 0.000
In 0.500 0.000 0.500
In 0.500 0.500 0.500
In 0.000 0.000 0.000
Cs 0.750 0.250 0.249
Cs 0.250 0.250 0.251
Cs 0.250 0.750 0.751
Cs 0.750 0.750 0.749

Values from the calculation:
As for the symmetry: Pnma (62). For the energy relative to the elements, the calculation gives 304.5 meV per atom.

---

Record 8
This record from Alexandria via LeMat-Bulk describes DyHoPt2 after structural relaxation. The functional is GGA-PBE.

a b c (Å): 3.450 4.955 4.955
angles (deg): 90.00 90.00 90.00
Positions (direct):
Ho 0.500 0.500 0.500
Dy 0.500 0.000 0.000
Pt 0.000 0.000 0.500
Pt 0.000 0.500 0.000

Values from the calculation:
As for the symmetry: P4/mmm (123). For the energy relative to the elements, the calculation gives -1234.7 meV per atom.

---

Record 9
This record from Alexandria via LeMat-Bulk describes Ba2GeIrN after structural relaxation. The functional is GGA-PBE.

a b c (Å): 5.947 5.947 3.763
angles (deg): 90.00 90.00 90.00
Positions (direct):
N 0.000 0.000 0.000
Ge 0.500 0.500 0.500
Ba 0.500 0.000 0.000
Ba 0.000 0.500 0.000
Ir 0.000 0.000 0.500

Values from the calculation:
As for the symmetry: P4/mmm (123). The energy relative to the elements, uncorrected is -0.420 eV per atom.

---

Record 10
This record from Alexandria via LeMat-Bulk describes In2Bi2I after structural relaxation. The functional is GGA-PBE.

a b c (Å): 4.539 4.539 8.802
angles (deg): 75.06 75.06 90.00
Positions (direct):
In 0.750 0.250 0.500
In 0.250 0.750 0.500
Bi 0.380 0.380 0.240
Bi 0.620 0.620 0.760
I 0.000 0.000 0.000

Values from the calculation:
As for the symmetry: I4/mmm (139). The energy relative to the elements, uncorrected is -0.035 eV per atom.

---

Record 11
This record from Alexandria via LeMat-Bulk describes K3Zr3USe8 after structural relaxation. The functional is GGA-PBE.

a b c (Å): 7.834 7.832 9.129
angles (deg): 115.35 90.00 120.04
Each line ends with the local moment (μB).
Positions (direct):
Se 0.722 0.964 0.705  -0.03
Se 0.241 0.964 0.705  -0.03
Se 0.759 0.517 0.295  -0.03
Se 0.241 0.483 0.705  -0.03
Se 0.266 0.532 0.298  0.00
Se 0.734 0.468 0.702  0.00
Se 0.759 0.036 0.295  -0.03
Se 0.278 0.036 0.295  -0.03
U 0.000 0.000 0.500  2.32
Zr 0.500 0.500 0.500  0.12
Zr 0.000 0.500 0.500  0.10
Zr 0.500 0.000 0.500  0.09
K 0.500 0.500 0.000  0.00
K 0.000 0.500 0.000  0.00
K 0.000 0.000 0.000  0.00

Values from the calculation:
As for the symmetry: C2/m (12). The energy relative to the elements, uncorrected is -1.342 eV per atom.

---

Record 12
This record from Alexandria via LeMat-Bulk describes KHf after structural relaxation. The functional is GGA-PBE.

a b c (Å): 6.695 6.695 6.695
angles (deg): 90.00 90.00 90.00
Each line ends with the local moment (μB).
Positions (direct):
Hf 0.000 0.000 0.500  0.54
Hf 0.500 0.500 0.500  0.54
Hf 0.500 0.000 0.000  0.54
Hf 0.000 0.500 0.000  0.54
K 0.000 0.500 0.500  0.03
K 0.500 0.000 0.500  0.03
K 0.500 0.500 0.000  0.03
K 0.000 0.000 0.000  0.03

Values from the calculation:
As for the symmetry: Fm-3m (225). For the energy relative to the elements, the calculation gives 2395.8 meV per atom.

---

Record 13
This record from Alexandria via LeMat-Bulk describes ZrSi2Ag after structural relaxation. The functional is GGA-PBE.

a b c (Å): 8.908 8.908 8.908
angles (deg): 19.67 19.67 19.67
Positions (direct):
Si 0.259 0.259 0.259
Si 0.995 0.995 0.995
Zr 0.506 0.506 0.506
Ag 0.741 0.741 0.741

Values from the calculation:
As for the symmetry: R3m (160). The energy relative to the elements, uncorrected is 0.104 eV per atom.

---

Record 14
This record from Alexandria via LeMat-Bulk describes CoTc3Pt after structural relaxation. The functional is GGA-PBE.

a b c (Å): 4.345 4.345 4.345
angles (deg): 90.00 90.00 90.00
Positions (direct):
Tc 0.000 0.500 0.000
Tc 0.000 0.000 0.500
Tc 0.500 0.000 0.000
Co 0.000 0.000 0.000
Pt 0.500 0.500 0.500

Values from the calculation:
As for the symmetry: Pm-3m (221). For the energy relative to the elements, the calculation gives 1216.2 meV per atom.

---

Record 15
This record from Alexandria via LeMat-Bulk describes Ca6Tl7 after structural relaxation. The functional is GGA-PBE.

a b c (Å): 11.751 11.751 11.751
angles (deg): 32.24 32.24 32.24
Positions (direct):
Ca 0.946 0.946 0.946
Ca 0.335 0.335 0.335
Ca 0.054 0.054 0.054
Ca 0.840 0.840 0.840
Ca 0.665 0.665 0.665
Ca 0.160 0.160 0.160
Tl 0.587 0.084 0.587
Tl 0.413 0.413 0.916
Tl 0.587 0.587 0.084
Tl 0.084 0.587 0.587
Tl 0.413 0.916 0.413
Tl 0.916 0.413 0.413
Tl 0.500 0.500 0.500

Values from the calculation:
As for the symmetry: R-3m (166). For the energy relative to the elements, the calculation gives -258.6 meV per atom.

---

Record 16
This record from Alexandria via LeMat-Bulk describes PuAgSnHg after structural relaxation. The functional is GGA-PBE.

a b c (Å): 5.123 5.123 5.123
angles (deg): 60.00 60.00 60.00
Each line ends with the local moment (μB).
Positions (direct):
Sn 0.750 0.750 0.750  -0.02
Hg 0.250 0.250 0.250  0.01
Pu 0.500 0.500 0.500  5.34
Ag 0.000 0.000 0.000  0.00

Values from the calculation:
As for the symmetry: F-43m (216). For the energy relative to the elements, the calculation gives -134.5 meV per atom.

---

Record 17
This record from Alexandria via LeMat-Bulk describes Cs2Nb2TlO6 after structural relaxation. The functional is GGA-PBE.

a b c (Å): 6.672 6.672 7.668
angles (deg): 64.21 64.21 60.00
Positions (direct):
Cs 0.786 0.786 0.642
Cs 0.214 0.214 0.358
Tl 0.000 0.000 0.000
O 0.725 0.252 0.771
O 0.275 0.748 0.229
O 0.252 0.252 0.771
O 0.748 0.748 0.229
O 0.748 0.275 0.229
O 0.252 0.725 0.771
Nb 0.574 0.574 0.277
Nb 0.426 0.426 0.723

Values from the calculation:
As for the symmetry: R-3m (166). The energy relative to the elements, uncorrected is -1.766 eV per atom.

---

Record 18
This record from Alexandria via LeMat-Bulk describes BeTlIr3 after structural relaxation. The functional is GGA-PBE.

a b c (Å): 4.945 4.945 4.945
angles (deg): 90.00 90.00 90.00
Each line ends with the local moment (μB).
Positions (direct):
Ir 0.500 0.000 0.000  0.42
Ir 0.000 0.500 0.000  0.66
Ir 0.000 0.000 0.500  0.88
Be 0.500 0.500 0.500  -0.02
Tl 0.000 0.000 0.000  -0.01

Values from the calculation:
As for the symmetry: Pm-3m (221). For the energy relative to the elements, the calculation gives 2688.0 meV per atom.

---

Record 19
This record from Alexandria via LeMat-Bulk describes Pu2Be4Si3Pt after structural relaxation. The functional is GGA-PBE.

a b c (Å): 3.854 3.854 9.792
angles (deg): 90.00 90.00 90.00
Each line ends with the local moment (μB).
Positions (direct):
Si 0.000 0.500 0.131  -0.06
Si 0.000 0.000 0.500  -0.04
Si 0.500 0.000 0.869  -0.06
Pu 0.000 0.500 0.759  5.05
Pu 0.500 0.000 0.241  5.05
Be 0.500 0.000 0.637  0.00
Be 0.500 0.500 0.000  0.00
Be 0.000 0.000 0.000  0.00
Be 0.000 0.500 0.363  0.00
Pt 0.500 0.500 0.500  0.00

Values from the calculation:
As for the symmetry: P-4m2 (115). The energy relative to the elements, uncorrected is -0.435 eV per atom.

---

Record 20
This record from Alexandria via LeMat-Bulk describes YbCeMg2 after structural relaxation. The functional is GGA-PBE.

a b c (Å): 5.453 5.453 5.453
angles (deg): 60.00 60.00 60.00
Each line ends with the local moment (μB).
Positions (direct):
Ce 0.500 0.500 0.500  0.91
Yb 0.000 0.000 0.000  -0.15
Mg 0.250 0.250 0.250  0.00
Mg 0.750 0.750 0.750  0.00

Values from the calculation:
As for the symmetry: Fm-3m (225). For the energy relative to the elements, the calculation gives -22.2 meV per atom.

---

Record 21
This record from Alexandria via LeMat-Bulk describes BC5 after structural relaxation. The functional is GGA-PBE.

a b c (Å): 2.528 4.518 6.325
angles (deg): 91.76 90.00 90.00
Positions (direct):
C 0.000 0.989 0.009
C 0.000 0.335 0.327
C 0.000 0.333 0.578
C 0.500 0.511 0.004
C 0.000 0.011 0.241
C 0.000 0.667 0.672
C 0.500 0.171 0.655
C 0.000 0.665 0.923
C 0.500 0.489 0.246
C 0.500 0.829 0.595
B 0.500 0.828 0.340
B 0.500 0.172 0.910

Values from the calculation:
As for the symmetry: P2/m (10). For the energy relative to the elements, the calculation gives 254.4 meV per atom.

---

Record 22
This record from Alexandria via LeMat-Bulk describes LaCeTe3 after structural relaxation. The functional is GGA-PBE.

a b c (Å): 4.523 7.693 9.944
angles (deg): 90.00 90.00 90.00
Each line ends with the local moment (μB).
Positions (direct):
La 0.500 0.000 0.154  0.01
La 0.000 0.500 0.846  0.01
Te 0.500 0.272 0.672  -0.02
Te 0.000 0.000 0.930  -0.01
Te 0.500 0.500 0.070  -0.01
Te 0.000 0.772 0.328  -0.02
Te 0.500 0.728 0.672  -0.02
Te 0.000 0.228 0.328  -0.02
Ce 0.500 0.500 0.398  0.88
Ce 0.000 0.000 0.602  0.88

Values from the calculation:
As for the symmetry: Pmmn (59). The energy relative to the elements, uncorrected is -1.437 eV per atom.

---

Record 23
This record from Alexandria via LeMat-Bulk describes La2PuFe2 after structural relaxation. The functional is GGA-PBE.

a b c (Å): 5.848 5.848 7.655
angles (deg): 83.03 83.03 62.64
Each line ends with the local moment (μB).
Positions (direct):
La 0.767 0.539 0.347  0.15
La 0.461 0.233 0.153  0.15
La 0.233 0.461 0.653  0.15
La 0.539 0.767 0.847  0.15
Fe 0.768 0.001 0.512  -1.34
Fe 0.999 0.232 0.988  -1.34
Fe 0.232 0.999 0.488  -1.34
Fe 0.001 0.768 0.012  -1.34
Pu 0.892 0.108 0.750  4.75
Pu 0.108 0.892 0.250  4.75

Values from the calculation:
As for the symmetry: C2/c (15). For the energy relative to the elements, the calculation gives 11.5 meV per atom.

---

VASP energy values (in eV/atom) by entry order: -8.35 -5.04 -4.14 -7.51 -4.54 -9.14 -3.74 -6.55 -5.55 -2.99 -5.88 -3.13 -5.46 -7.63 -2.46 -5.51 -6.67 -3.85 -7.02 -2.68 -8.55 -5.49 -8.21.